Below is crystalline GePWO2 at its relaxed geometry, with properties calculated at the GGA+U level.

V = 14.91 A^3/atom
DOS(E_F) = 1.44 states/eV/f.u.
magnetic moment = 3.03 μB/f.u.
E = -27.77 eV for the cell shown
distance to the lowest polymorph of the same formula = 625 meV per atom
SG = P4/mmm, No. 123

Unit cell a=3.649 b=3.649 c=5.599 alpha=90.00 beta=90.00 gamma=90.00
Positions (direct):
Ge (0.000, 0.000, 0.000)
O (0.500, 0.000, 0.000)
O (0.000, 0.500, 0.000)
W (0.500, 0.500, 0.500)
P (0.000, 0.000, 0.500)